The following is a DFT calculation (PBE-GGA) of a relaxed CdSi crystal.

Electronic total energy in eV/cell: -5.5
Energy relative to the elements, uncorrected in meV per atom: 429

a b c (Å): 2.7528 4.3662 4.3735
angles (deg): 119.56 92.59 92.30
Last column: nearest neighbours and their distance in Å.
Sites, in units of the cell vectors:
1 Cd 0.0000 0.0000 0.0000  2 Cd 2.75, 6 Si 2.79-2.98
2 Si 0.4990 0.3336 0.6663  2 Si 2.75, 6 Cd 2.79-2.98